Entry 1:
# PBEsol Li2MgAu2, optimized geometry
# - V (Å³ per cell) = 166.4
# - E_form (eV per atom) = -0.431
data_Li2MgAu2
_cell_length_a 7.1167
_cell_length_b 7.1167
_cell_length_c 3.2862
_cell_angle_alpha 90.00
_cell_angle_beta 90.00
_cell_angle_gamma 90.00
_space_group_name_H-M_alt 'P 4/m b m'
_space_group_IT_number 127
_space_group_name_Hall '-P 4 2ab'
loop_
_atom_site_label
_atom_site_fract_x
_atom_site_fract_y
_atom_site_fract_z
Li1 0.1547 0.3453 0.0000
Mg1 0.0000 0.0000 0.5000
Au1 0.1414 0.6414 0.5000

---

Entry 2:
# PBEsol KCuSb3, optimized geometry
# - uncorrected energy (eV/cell) = -10.6
# - V (Å³ per cell) = 181.0
data_KCuSb3
_cell_length_a 5.6571
_cell_length_b 5.6571
_cell_length_c 5.6571
_cell_angle_alpha 90.00
_cell_angle_beta 90.00
_cell_angle_gamma 90.00
_space_group_name_H-M_alt 'P m -3 m'
_space_group_IT_number 221
_space_group_name_Hall '-P 4 2 3'
loop_
_atom_site_label
_atom_site_fract_x
_atom_site_fract_y
_atom_site_fract_z
K1 0.0000 0.0000 0.0000
Cu1 0.5000 0.5000 0.5000
Sb1 0.0000 0.0000 0.5000

---

Entry 3:
# PBEsol Sm3AlCoS7, optimized geometry
# - uncorrected energy (eV/cell) = -154.2
# - V (Å³ per cell) = 506.4
data_Sm3AlCoS7
_cell_length_a 9.7334
_cell_length_b 9.7334
_cell_length_c 6.1726
_cell_angle_alpha 90.00
_cell_angle_beta 90.00
_cell_angle_gamma 120.00
_space_group_name_H-M_alt 'P 63'
_space_group_IT_number 173
loop_
_space_group_symop_operation_xyz
'x,y,z'
'x-y,x,z+1/2'
'-y,x-y,z'
'-x,-y,z+1/2'
'-x+y,-x,z'
'y,-x+y,z+1/2'
loop_
_atom_site_label
_atom_site_fract_x
_atom_site_fract_y
_atom_site_fract_z
Sm1 0.1503 0.7760 0.0000
Al1 0.3333 0.6667 0.5753
Co1 0.0000 0.0000 0.1635
S1 0.0894 0.8730 0.4076
S2 0.0935 0.5195 0.7238
S3 0.3333 0.6667 0.2137

---

Entry 4:
# PBEsol CuRh2, optimized geometry
# - V (Å³ per cell) = 38.8
# - E_form (eV per atom) = 0.055
data_CuRh2
_cell_length_a 2.6468
_cell_length_b 2.6468
_cell_length_c 6.3945
_cell_angle_alpha 90.00
_cell_angle_beta 90.00
_cell_angle_gamma 120.00
_space_group_name_H-M_alt 'P -3 m 1'
_space_group_IT_number 164
_space_group_name_Hall '-P 3 2"'
loop_
_atom_site_label
_atom_site_fract_x
_atom_site_fract_y
_atom_site_fract_z
Cu1 0.0000 0.0000 0.0000
Rh1 0.3333 0.6667 0.6690

---

Entry 5:
# PBEsol Ca2IrO4, optimized geometry
# - uncorrected energy (eV/cell) = -148.5
# - V (Å³ per cell) = 249.0
data_Ca2IrO4
_cell_length_a 9.4315
_cell_length_b 9.4315
_cell_length_c 3.2322
_cell_angle_alpha 90.00
_cell_angle_beta 90.00
_cell_angle_gamma 120.00
_space_group_name_H-M_alt 'P -6 2 m'
_space_group_IT_number 189
_space_group_name_Hall 'P -6 -2'
loop_
_atom_site_label
_atom_site_fract_x
_atom_site_fract_y
_atom_site_fract_z
Ca1 0.0000 0.0000 0.0000
Ca2 0.0000 0.6830 0.5000
Ca3 0.3333 0.6667 0.5000
Ir1 0.0000 0.3179 0.0000
O1 0.0000 0.1803 0.5000
O2 0.0000 0.4427 0.5000
O3 0.1985 0.7529 0.0000

---

Entry 6:
# PBEsol Ca2MgTe, optimized geometry
# - uncorrected energy (eV/cell) = -45.8
# - V (Å³ per cell) = 538.1
data_Ca2MgTe
_cell_length_a 8.5567
_cell_length_b 8.5567
_cell_length_c 7.3489
_cell_angle_alpha 90.00
_cell_angle_beta 90.00
_cell_angle_gamma 90.00
_space_group_name_H-M_alt 'I -4 2 d'
_space_group_IT_number 122
_space_group_name_Hall 'I -4 2bw'
loop_
_atom_site_label
_atom_site_fract_x
_atom_site_fract_y
_atom_site_fract_z
Ca1 0.2267 0.7500 0.1250
Mg1 0.0000 0.0000 0.5000
Te1 0.0000 0.0000 0.0000

---

Entry 7:
# PBEsol K2RbTl2, optimized geometry
# - V (Å³ per cell) = 441.5
# - E_form (eV per atom) = 0.008
data_K2RbTl2
_cell_length_a 9.4811
_cell_length_b 9.4811
_cell_length_c 4.9119
_cell_angle_alpha 90.00
_cell_angle_beta 90.00
_cell_angle_gamma 90.00
_space_group_name_H-M_alt 'P 4/m b m'
_space_group_IT_number 127
_space_group_name_Hall '-P 4 2ab'
loop_
_atom_site_label
_atom_site_fract_x
_atom_site_fract_y
_atom_site_fract_z
K1 0.1732 0.3268 0.0000
Rb1 0.0000 0.0000 0.5000
Tl1 0.1134 0.6134 0.5000

---

Entry 8:
# PBEsol Li3Mo2P3O12, optimized geometry
# - uncorrected energy (eV/cell) = -908.8
# - V (Å³ per cell) = 1428.6
data_Li3Mo2P3O12
_cell_length_a 8.4825
_cell_length_b 8.4825
_cell_length_c 22.9258
_cell_angle_alpha 90.00
_cell_angle_beta 90.00
_cell_angle_gamma 120.00
_space_group_name_H-M_alt 'R -3'
_space_group_IT_number 148
_space_group_name_Hall '-R 3'
loop_
_atom_site_label
_atom_site_fract_x
_atom_site_fract_y
_atom_site_fract_z
Li1 0.0190 0.6385 0.2141
Mo1 0.0000 0.0000 0.1517
Mo2 0.0000 0.0000 0.3554
P1 0.0028 0.2936 0.2486
O1 0.0103 0.2003 0.3034
O2 0.0576 0.2208 0.5880
O3 0.0826 0.5132 0.8627
O4 0.0950 0.5294 0.5642

---

Entry 9:
# PBEsol ThIn3, optimized geometry
# - V (Å³ per cell) = 101.3
# - E_form (eV per atom) = -0.397
data_ThIn3
_cell_length_a 4.6616
_cell_length_b 4.6616
_cell_length_c 4.6616
_cell_angle_alpha 90.00
_cell_angle_beta 90.00
_cell_angle_gamma 90.00
_space_group_name_H-M_alt 'P m -3 m'
_space_group_IT_number 221
_space_group_name_Hall '-P 4 2 3'
loop_
_atom_site_label
_atom_site_fract_x
_atom_site_fract_y
_atom_site_fract_z
Th1 0.0000 0.0000 0.0000
In1 0.0000 0.5000 0.5000

---

Entry 10:
# PBEsol MgSc2Ag, optimized geometry
# - V (Å³ per cell) = 168.3
# - E_form (eV per atom) = -0.099
data_MgSc2Ag
_cell_length_a 11.2746
_cell_length_b 3.3430
_cell_length_c 4.9734
_cell_angle_alpha 90.00
_cell_angle_beta 116.12
_cell_angle_gamma 90.00
_space_group_name_H-M_alt 'C 1 m 1'
_space_group_IT_number 8
loop_
_space_group_symop_operation_xyz
'x,y,z'
'x,-y,z'
'x+1/2,y+1/2,z'
'x+1/2,-y+1/2,z'
loop_
_atom_site_label
_atom_site_fract_x
_atom_site_fract_y
_atom_site_fract_z
Mg1 0.0000 0.0000 0.0000
Sc1 0.0551 0.5000 0.5550
Sc2 0.2750 0.5000 0.2740
Ag1 0.2839 0.0000 0.7826

---

Entry 11:
# PBEsol CsTiO2F, optimized geometry
# - uncorrected energy (eV/cell) = -20.8
# - V (Å³ per cell) = 98.6
data_CsTiO2F
_cell_length_a 4.4280
_cell_length_b 4.4280
_cell_length_c 5.0295
_cell_angle_alpha 90.00
_cell_angle_beta 90.00
_cell_angle_gamma 90.00
_space_group_name_H-M_alt 'P 4/m m m'
_space_group_IT_number 123
_space_group_name_Hall '-P 4 2'
loop_
_atom_site_label
_atom_site_fract_x
_atom_site_fract_y
_atom_site_fract_z
Cs1 0.0000 0.0000 0.0000
Ti1 0.5000 0.5000 0.5000
O1 0.0000 0.5000 0.0000
F1 0.0000 0.0000 0.5000

---

Entry 12:
# PBEsol Zr3Pt, optimized geometry
# - V (Å³ per cell) = 163.4
# - E_form (eV per atom) = -0.497
data_Zr3Pt
_cell_length_a 3.2142
_cell_length_b 9.5958
_cell_length_c 5.2976
_cell_angle_alpha 90.00
_cell_angle_beta 90.00
_cell_angle_gamma 90.00
_space_group_name_H-M_alt 'I m m 2'
_space_group_IT_number 44
loop_
_space_group_symop_operation_xyz
'x,y,z'
'-x,-y,z'
'-x,y,z'
'x,-y,z'
'x+1/2,y+1/2,z+1/2'
'-x+1/2,-y+1/2,z+1/2'
'-x+1/2,y+1/2,z+1/2'
'x+1/2,-y+1/2,z+1/2'
loop_
_atom_site_label
_atom_site_fract_x
_atom_site_fract_y
_atom_site_fract_z
Zr1 0.0000 0.0000 0.0000
Zr2 0.0000 0.2155 0.5809
Pt1 0.0000 0.5000 0.9170

---

We obtain density values of 8.623 4.292 4.993 11.529 6.730 2.865 4.306 3.470 9.450 4.382 3.903 9.528 g/cm³ for the records listed above, in that order.